1.
Tb2CePr6Dy: relaxed, PBE.

Summary:
Mass density in Mg/m³: 6.9
Space-group type: No. 12
Formation energy from the elements in eV per atom: 0.231
E_tot in eV/cell: -46.16

The structure in CIF format:
```
data_Tb2CePr6Dy
_space_group_name_H-M_alt 'P 1'
_space_group_IT_number 1
_cell_length_a 8.925
_cell_length_b 7.130
_cell_length_c 6.699
_cell_angle_alpha 122.15
_cell_angle_beta 101.27
_cell_angle_gamma 90.00
loop_
_space_group_symop_operation_xyz
'x,y,z'
loop_
_atom_site_label
_atom_site_type_symbol
_atom_site_fract_x
_atom_site_fract_y
_atom_site_fract_z
Dy1 Dy 0.500 0.000 0.000
Pr1 Pr 0.583 0.374 0.747
Pr2 Pr 0.204 0.594 0.656
Pr3 Pr 0.417 0.626 0.253
Pr4 Pr 0.796 0.938 0.344
Pr5 Pr 0.796 0.406 0.344
Pr6 Pr 0.204 0.062 0.656
Ce1 Ce 0.000 0.500 0.000
Tb1 Tb 0.162 0.092 0.184
Tb2 Tb 0.838 0.908 0.816
```

2.
TbCePr6Dy2: relaxed, PBE.

Summary:
Mass density in Mg/m³: 7.0
Space-group type: No. 12
Formation energy from the elements in eV per atom: 0.232
E_tot in eV/cell: -46.13

The structure in CIF format:
```
data_TbCePr6Dy2
_space_group_name_H-M_alt 'P 1'
_space_group_IT_number 1
_cell_length_a 8.923
_cell_length_b 7.128
_cell_length_c 6.689
_cell_angle_alpha 122.20
_cell_angle_beta 101.00
_cell_angle_gamma 90.00
loop_
_space_group_symop_operation_xyz
'x,y,z'
loop_
_atom_site_label
_atom_site_type_symbol
_atom_site_fract_x
_atom_site_fract_y
_atom_site_fract_z
Pr1 Pr 0.796 0.937 0.342
Pr2 Pr 0.204 0.595 0.658
Pr3 Pr 0.796 0.405 0.342
Pr4 Pr 0.582 0.372 0.744
Pr5 Pr 0.204 0.063 0.658
Pr6 Pr 0.418 0.628 0.256
Dy1 Dy 0.161 0.093 0.185
Dy2 Dy 0.839 0.907 0.815
Ce1 Ce 0.000 0.500 0.000
Tb1 Tb 0.500 0.000 0.000
```

3.
Tb2CePr2Dy2: relaxed, PBE.

Summary:
Mass density in Mg/m³: 7.4
Space-group type: No. 12
Formation energy from the elements in eV per atom: 0.299
E_tot in eV/cell: -31.87

The structure in CIF format:
```
data_Tb2CePr2Dy2
_space_group_name_H-M_alt 'P 1'
_space_group_IT_number 1
_cell_length_a 3.438
_cell_length_b 8.236
_cell_length_c 8.686
_cell_angle_alpha 86.46
_cell_angle_beta 90.00
_cell_angle_gamma 102.05
loop_
_space_group_symop_operation_xyz
'x,y,z'
loop_
_atom_site_label
_atom_site_type_symbol
_atom_site_fract_x
_atom_site_fract_y
_atom_site_fract_z
Ce1 Ce 0.000 0.000 0.500
Tb1 Tb 0.544 0.087 0.161
Tb2 Tb 0.456 0.913 0.839
Pr1 Pr 0.317 0.635 0.164
Pr2 Pr 0.683 0.365 0.836
Dy1 Dy 0.324 0.648 0.573
Dy2 Dy 0.676 0.352 0.427
```

In order of appearance, total magnetization = 1.103 1.134 1.047 μB/f.u..
In order of appearance, calculated volume = 351.2 350.7 240.0 Å³ per cell.